Density functional theory data (PBE) for a relaxed Mg5Cd2Pd2Au crystal.

Summary:
DOS(E_F): 2.9 states/eV/f.u.
E: -55.1 eV per cell

a b c (Å): 3.3882 10.8339 10.8339
angles (deg): 90.00 90.00 90.00
Last column: nearest neighbours and their distance in Å.
Element x y z (fractional)
Cd 0.0000 0.1718 0.3282  3 Pd 2.99-3.33, 6 Mg 3.13-3.33
Mg 0.5000 0.1951 0.0649  2 Pd 2.62, 2 Au 2.80
Cd 0.0000 0.6718 0.1718  3 Pd 2.99-3.33, 6 Mg 3.13-3.33
Mg 0.5000 0.8049 0.9351  2 Pd 2.62, 2 Au 2.80
Mg 0.5000 0.9351 0.1951  2 Pd 2.62, 2 Au 2.80
Au 0.0000 0.0000 0.0000  8 Mg 2.80
Cd 0.0000 0.8282 0.6718  3 Pd 2.99-3.33, 6 Mg 3.13-3.33
Pd 0.0000 0.8671 0.3671  6 Mg 2.62-2.65
Mg 0.5000 0.5000 0.0000  4 Pd 2.65
Mg 0.5000 0.5649 0.6951  2 Pd 2.62, 2 Au 2.80
Pd 0.0000 0.1329 0.6329  6 Mg 2.62-2.65
Au 0.0000 0.5000 0.5000  8 Mg 2.80
Mg 0.5000 0.0649 0.8049  2 Pd 2.62, 2 Au 2.80
Cd 0.0000 0.3282 0.8282  3 Pd 2.99-3.33, 6 Mg 3.13-3.33
Mg 0.5000 0.0000 0.5000  4 Pd 2.65
Mg 0.5000 0.4351 0.3049  2 Pd 2.62, 2 Au 2.80
Mg 0.5000 0.3049 0.5649  2 Pd 2.62, 2 Au 2.80
Pd 0.0000 0.3671 0.1329  6 Mg 2.62-2.65
Mg 0.5000 0.6951 0.4351  2 Pd 2.62, 2 Au 2.80
Pd 0.0000 0.6329 0.8671  6 Mg 2.62-2.65



Density functional theory data (PBE) for a relaxed Pm2MgCdAu4 crystal.

Summary:
DOS(E_F): 4.7 states/eV/f.u.
E: -30.8 eV per cell

a b c (Å): 5.0374 5.0374 8.5799
angles (deg): 72.93 72.93 60.00
Last column: nearest neighbours and their distance in Å.
Element x y z (fractional)
Cd 0.0000 0.0000 0.0000  8 Au 3.09-3.13
Mg 0.5000 0.5000 0.5000  8 Au 2.87-3.06
Pm 0.2531 0.2531 0.2407  8 Au 3.01-3.13
Au 0.1277 0.1277 0.6169  4 Pm 3.04-3.13, 3 Mg 3.06, 1 Cd 3.09
Au 0.8723 0.8723 0.3831  4 Pm 3.04-3.13, 3 Mg 3.06, 1 Cd 3.09
Au 0.6184 0.6184 0.1447  1 Mg 2.87, 4 Pm 3.01-3.11, 3 Cd 3.13
Au 0.3816 0.3816 0.8553  1 Mg 2.87, 4 Pm 3.01-3.11, 3 Cd 3.13
Pm 0.7469 0.7469 0.7593  8 Au 3.01-3.13



Density functional theory data (PBE) for a relaxed PmMg2CdAu4 crystal.

Summary:
DOS(E_F): 3.5 states/eV/f.u.
E: -26.4 eV per cell

a b c (Å): 4.6942 4.6942 9.1812
angles (deg): 75.19 75.19 60.00
Last column: nearest neighbours and their distance in Å.
Element x y z (fractional)
Au 0.1214 0.1214 0.6357  4 Mg 2.81-3.12, 3 Cd 2.96
Au 0.8786 0.8786 0.3643  4 Mg 2.81-3.12, 3 Cd 2.96
Au 0.6090 0.6090 0.1730  3 Mg 2.87, 1 Cd 2.87, 3 Pm 3.11, 3 Au 3.19
Mg 0.7598 0.7598 0.7205  7 Au 2.81-3.12
Cd 0.5000 0.5000 0.5000  8 Au 2.87-2.96
Au 0.3910 0.3910 0.8270  3 Mg 2.87, 1 Cd 2.87, 3 Pm 3.11, 3 Au 3.19
Pm 0.0000 0.0000 0.0000  8 Au 3.11-3.20
Mg 0.2402 0.2402 0.2795  7 Au 2.81-3.12



Density functional theory data (PBE) for a relaxed PmMgCdAu crystal.

Summary:
DOS(E_F): 1.9 states/eV/f.u.
E: -12.7 eV per cell

a b c (Å): 5.0670 5.0670 5.0670
angles (deg): 60.00 60.00 60.00
Last column: nearest neighbours and their distance in Å.
Element x y z (fractional)
Mg 0.0000 0.0000 0.0000  4 Cd 3.10, 4 Au 3.10
Cd 0.7500 0.7500 0.7500  4 Mg 3.10, 4 Pm 3.10
Pm 0.5000 0.5000 0.5000  4 Au 3.10, 4 Cd 3.10
Au 0.2500 0.2500 0.2500  4 Mg 3.10, 4 Pm 3.10



Density functional theory data (PBE) for a relaxed PmMgCd2Au4 crystal.

Summary:
DOS(E_F): 2.2 states/eV/f.u.
E: -25.4 eV per cell

a b c (Å): 4.8488 4.8488 8.6028
angles (deg): 73.63 73.63 60.00
Last column: nearest neighbours and their distance in Å.
Element x y z (fractional)
Pm 0.0000 0.0000 0.0000  8 Au 3.09-3.15
Cd 0.7506 0.7506 0.7481  7 Au 2.90-3.01
Au 0.3865 0.3865 0.8405  1 Mg 2.77, 3 Cd 2.90, 3 Pm 3.09
Cd 0.2494 0.2494 0.2519  7 Au 2.90-3.01
Au 0.6135 0.6135 0.1595  1 Mg 2.77, 3 Cd 2.90, 3 Pm 3.09
Au 0.1291 0.1291 0.6128  4 Cd 2.93-3.01, 3 Mg 2.95, 1 Pm 3.15
Mg 0.5000 0.5000 0.5000  8 Au 2.77-2.95
Au 0.8709 0.8709 0.3872  4 Cd 2.93-3.01, 3 Mg 2.95, 1 Pm 3.15



Density functional theory data (PBE) for a relaxed PrMg2Cd2Au2 crystal.

Summary:
DOS(E_F): 2.8 states/eV/f.u.
E: -19.4 eV per cell

a b c (Å): 4.8549 4.8549 8.2623
angles (deg): 72.91 72.91 60.00
Last column: nearest neighbours and their distance in Å.
Element x y z (fractional)
Cd 0.4152 0.4152 0.7545  3 Au 2.80, 3 Mg 3.09
Cd 0.5848 0.5848 0.2455  3 Au 2.80, 3 Mg 3.09
Au 0.7453 0.7453 0.7642  1 Mg 2.73, 3 Cd 2.80
Pr 0.0000 0.0000 0.0000  2 Mg 3.21, 6 Au 3.35, 6 Cd 3.39
Au 0.2547 0.2547 0.2358  1 Mg 2.73, 3 Cd 2.80
Mg 0.8622 0.8622 0.4133  1 Au 2.73
Mg 0.1378 0.1378 0.5867  1 Au 2.73



Density functional theory data (PBE) for a relaxed PrMgCd2Au4 crystal.

Summary:
DOS(E_F): 2.5 states/eV/f.u.
E: -25.4 eV per cell

a b c (Å): 4.8436 4.8436 8.7647
angles (deg): 73.96 73.96 60.00
Last column: nearest neighbours and their distance in Å.
Element x y z (fractional)
Au 0.6106 0.6106 0.1682  1 Mg 2.76, 3 Cd 2.89
Au 0.1297 0.1297 0.6109  3 Mg 2.94, 4 Cd 2.94-3.01, 1 Pr 3.23
Au 0.8703 0.8703 0.3891  3 Mg 2.94, 4 Cd 2.94-3.01, 1 Pr 3.23
Cd 0.2479 0.2479 0.2563  7 Au 2.89-3.01
Cd 0.7521 0.7521 0.7437  7 Au 2.89-3.01
Pr 0.0000 0.0000 0.0000  8 Au 3.13-3.23
Mg 0.5000 0.5000 0.5000  8 Au 2.76-2.94
Au 0.3894 0.3894 0.8318  1 Mg 2.76, 3 Cd 2.89



Density functional theory data (PBE) for a relaxed MgCdPtAu crystal.

Summary:
DOS(E_F): 1.5 states/eV/f.u.
E: -13.7 eV per cell

a b c (Å): 4.2803 4.2803 4.8963
angles (deg): 115.95 115.92 90.00
Last column: nearest neighbours and their distance in Å.
Element x y z (fractional)
Mg 0.5000 0.5000 0.0000  4 Au 2.88, 4 Pt 2.88, 4 Cd 3.03
Au 0.7500 0.2500 0.5000  4 Cd 2.88, 4 Mg 2.88, 4 Pt 3.03
Cd 0.0000 0.0000 0.0000  4 Au 2.88, 4 Pt 2.88, 4 Mg 3.03
Pt 0.2500 0.7500 0.5000  4 Cd 2.88, 4 Mg 2.88, 4 Au 3.03



Density functional theory data (PBE) for a relaxed Mg5CdPtAu2 crystal.

Summary:
DOS(E_F): 2.8 states/eV/f.u.
E: -49.3 eV per cell

a b c (Å): 6.8829 6.8829 9.0999
angles (deg): 112.22 112.22 90.00
Last column: nearest neighbours and their distance in Å.
Element x y z (fractional)
Mg 0.0854 0.5854 0.7016  1 Au 2.62, 1 Cd 2.76, 2 Pt 2.89
Au 0.8642 0.6358 0.0000  4 Mg 2.62-2.68, 1 Au 2.64
Mg 0.6162 0.1162 0.7016  1 Au 2.62, 1 Cd 2.76, 2 Pt 2.89
Au 0.3642 0.8642 0.0000  4 Mg 2.62-2.68, 1 Au 2.64
Pt 0.2500 0.2500 0.5000  8 Mg 2.89
Pt 0.7500 0.7500 0.5000  8 Mg 2.89
Mg 0.0000 0.0000 0.0000  4 Au 2.68
Mg 0.4146 0.3838 0.2984  1 Au 2.62, 1 Cd 2.76, 2 Pt 2.89
Mg 0.8838 0.9146 0.2984  1 Au 2.62, 1 Cd 2.76, 2 Pt 2.89
Mg 0.9146 0.4146 0.2984  1 Au 2.62, 1 Cd 2.76, 2 Pt 2.89
Cd 0.7500 0.2500 0.5000  8 Mg 2.76-3.01
Au 0.6358 0.1358 0.0000  4 Mg 2.62-2.68, 1 Au 2.64
Au 0.1358 0.3642 0.0000  4 Mg 2.62-2.68, 1 Au 2.64
Cd 0.2500 0.7500 0.5000  8 Mg 2.76-3.01
Mg 0.3838 0.8838 0.2984  1 Au 2.62, 1 Cd 2.76, 2 Pt 2.89
Mg 0.5000 0.5000 0.0000  4 Au 2.68
Mg 0.1162 0.0854 0.7016  1 Au 2.62, 1 Cd 2.76, 2 Pt 2.89
Mg 0.5854 0.6162 0.7016  1 Au 2.62, 1 Cd 2.76, 2 Pt 2.89



Density functional theory data (PBE) for a relaxed Mg5Cd2Pt2Au crystal.

Summary:
DOS(E_F): 3.3 states/eV/f.u.
E: -60.0 eV per cell

a b c (Å): 3.0978 11.3545 11.3545
angles (deg): 90.00 90.00 90.00
Last column: nearest neighbours and their distance in Å.
Element x y z (fractional)
Mg 0.5000 0.0000 0.5000  4 Pt 2.66
Mg 0.5000 0.9570 0.1998  2 Pt 2.65, 2 Au 2.79
Mg 0.5000 0.0430 0.8002  2 Pt 2.65, 2 Au 2.79
Mg 0.5000 0.5000 0.0000  4 Pt 2.66
Mg 0.5000 0.1998 0.0430  2 Pt 2.65, 2 Au 2.79
Cd 0.0000 0.6832 0.1832  1 Pt 2.92, 2 Cd 3.10
Cd 0.0000 0.1832 0.3168  1 Pt 2.92, 2 Cd 3.10
Mg 0.5000 0.4570 0.3002  2 Pt 2.65, 2 Au 2.79
Pt 0.0000 0.8651 0.3651  6 Mg 2.65-2.66, 1 Cd 2.92
Cd 0.0000 0.3168 0.8168  1 Pt 2.92, 2 Cd 3.10
Cd 0.0000 0.8168 0.6832  1 Pt 2.92, 2 Cd 3.10
Mg 0.5000 0.8002 0.9570  2 Pt 2.65, 2 Au 2.79
Au 0.0000 0.0000 0.0000  8 Mg 2.79, 2 Au 3.10
Mg 0.5000 0.3002 0.5430  2 Pt 2.65, 2 Au 2.79
Pt 0.0000 0.6349 0.8651  6 Mg 2.65-2.66, 1 Cd 2.92
Mg 0.5000 0.5430 0.6998  2 Pt 2.65, 2 Au 2.79
Pt 0.0000 0.1349 0.6349  6 Mg 2.65-2.66, 1 Cd 2.92
Mg 0.5000 0.6998 0.4570  2 Pt 2.65, 2 Au 2.79
Pt 0.0000 0.3651 0.1349  6 Mg 2.65-2.66, 1 Cd 2.92
Au 0.0000 0.5000 0.5000  8 Mg 2.79, 2 Au 3.10



Density functional theory data (PBE) for a relaxed Mg4CdRh2Au crystal.

Summary:
DOS(E_F): 3.8 states/eV/f.u.
E: -28.7 eV per cell

a b c (Å): 4.5781 4.5781 7.9197
angles (deg): 73.20 73.20 60.00
Last column: nearest neighbours and their distance in Å.
Element x y z (fractional)
Mg 0.8717 0.8717 0.3849  3 Au 2.78, 4 Rh 2.79-2.85, 1 Cd 2.87
Au 0.5000 0.5000 0.5000  8 Mg 2.72-2.78
Rh 0.2528 0.2528 0.2417  8 Mg 2.76-2.85
Cd 0.0000 0.0000 0.0000  8 Mg 2.83-2.87
Mg 0.1283 0.1283 0.6151  3 Au 2.78, 4 Rh 2.79-2.85, 1 Cd 2.87
Mg 0.3784 0.3784 0.8649  1 Au 2.72, 4 Rh 2.76-2.81, 3 Cd 2.83
Mg 0.6216 0.6216 0.1351  1 Au 2.72, 4 Rh 2.76-2.81, 3 Cd 2.83
Rh 0.7472 0.7472 0.7583  8 Mg 2.76-2.85



Density functional theory data (PBE) for a relaxed MgCdRhAu crystal.

Summary:
DOS(E_F): 1.1 states/eV/f.u.
E: -14.7 eV per cell

a b c (Å): 3.7901 4.2797 4.2232
angles (deg): 90.00 90.00 90.00
Last column: nearest neighbours and their distance in Å.
Element x y z (fractional)
Cd 0.0000 0.5000 0.5000  4 Rh 2.84, 4 Au 2.86, 4 Mg 3.01
Au 0.5000 0.0000 0.5000  4 Mg 2.84, 4 Cd 2.86, 4 Rh 3.01
Mg 0.0000 0.0000 0.0000  4 Au 2.84, 4 Rh 2.86, 4 Cd 3.01
Rh 0.5000 0.5000 0.0000  4 Cd 2.84, 4 Mg 2.86, 4 Au 3.01



We obtain size of the total moment values of 0.00 0.00 0.00 0.00 0.00 0.00 0.00 0.00 0.00 0.00 0.00 0.00 μB/atom for the records listed above, in that order.